[1]
BiPt2AuSe (PBE, optimized geometry); V = 123.72 Å³ per cell; N(E_F) = 0.46 states/eV per atom; calculated total energy = -3.773 eV/atom
1.0
5.074 0.000 0.000
0.000 4.805 0.000
0.000 0.000 5.074
Se Bi Pt Au
1 1 2 1
direct
0.000 0.500 0.000
0.500 0.500 0.500
0.500 0.000 0.000
0.000 0.000 0.500
0.000 0.000 0.000

[2]
ThTcP2Pd (PBE, optimized geometry); V = 87.37 Å³ per cell; N(E_F) = 0.72 states/eV per atom; calculated formation energy = -0.85 eV per atom; calculated total energy = -7.608 eV/atom
1.0
3.972 0.000 0.000
0.000 3.972 0.000
-1.986 -1.986 5.538
Pd Tc P Th
1 1 2 1
direct
0.750 0.250 0.500
0.250 0.750 0.500
0.626 0.626 0.252
0.374 0.374 0.748
0.000 0.000 0.000

[3]
CaCeMg2 (PBE, optimized geometry); E above lowest polymorph = 84.0 meV per atom; V = 114.93 Å³ per cell; N(E_F) = 1.82 states/eV per atom; calculated formation energy = 0.10 eV per atom; calculated total energy = -2.683 eV/atom
1.0
3.394 0.000 0.000
1.697 2.940 0.000
1.697 0.980 11.518
Mg Ca Ce
2 1 1
direct
0.250 0.250 0.250
0.750 0.750 0.750
0.500 0.500 0.500
0.000 0.000 0.000

[4]
DyHfIn (PBE, optimized geometry); E above lowest polymorph = 0.0 meV per atom; V = 75.26 Å³ per cell; N(E_F) = 0.80 states/eV per atom; calculated formation energy = -0.17 eV per atom; calculated total energy = -5.930 eV/atom
1.0
3.392 0.000 0.000
0.000 3.392 0.000
-1.696 -1.696 6.541
Dy Hf In
1 1 1
direct
0.000 0.000 0.999
0.327 0.327 0.654
0.674 0.674 0.347